Density functional theory data (PBE) for a relaxed LiEr2Zn3Cu12 crystal.

Unit cell a=9.311 b=9.311 c=9.311 alpha=39.07 beta=39.07 gamma=39.07
Fractional positions:
Li  0.000  0.000  0.000
Er  0.350  0.350  0.350
Er  0.650  0.650  0.650
Zn  0.000  0.000  0.500
Zn  0.000  0.500  0.000
Zn  0.500  0.000  0.000
Cu  0.079  0.079  0.639
Cu  0.079  0.639  0.079
Cu  0.193  0.578  0.578
Cu  0.361  0.921  0.921
Cu  0.422  0.422  0.807
Cu  0.422  0.807  0.422
Cu  0.578  0.193  0.578
Cu  0.578  0.578  0.193
Cu  0.639  0.079  0.079
Cu  0.807  0.422  0.422
Cu  0.921  0.361  0.921
Cu  0.921  0.921  0.361

Output
Uncorrected energy, eV per cell: -61.4
Formation enthalpy at 0 K, eV per atom: 0.15
SG: No. 166

***

Density functional theory data (PBE) for a relaxed Li3Er2ZnCu12 crystal.

Unit cell a=6.485 b=6.485 c=6.485 alpha=83.29 beta=83.29 gamma=83.29
Fractional positions:
Li  0.000  0.500  0.500
Li  0.500  0.000  0.500
Li  0.500  0.500  0.000
Er  0.210  0.210  0.210
Er  0.790  0.790  0.790
Zn  0.500  0.500  0.500
Cu  0.078  0.078  0.643
Cu  0.078  0.643  0.078
Cu  0.227  0.701  0.701
Cu  0.299  0.299  0.773
Cu  0.299  0.773  0.299
Cu  0.357  0.922  0.922
Cu  0.643  0.078  0.078
Cu  0.701  0.227  0.701
Cu  0.701  0.701  0.227
Cu  0.773  0.299  0.299
Cu  0.922  0.357  0.922
Cu  0.922  0.922  0.357

Output
Uncorrected energy, eV per cell: -65.2
Formation enthalpy at 0 K, eV per atom: 0.01
SG: No. 166

***

Density functional theory data (PBE) for a relaxed ErLu2Cu crystal.

Unit cell a=3.410 b=3.410 c=8.559 alpha=90.00 beta=90.00 gamma=90.00
Fractional positions:
Er  0.000  0.000  0.000
Lu  0.500  0.500  0.302
Lu  0.500  0.500  0.698
Cu  0.000  0.000  0.500

Output
Uncorrected energy, eV per cell: -18.2
Formation enthalpy at 0 K, eV per atom: -0.12
SG: No. 123

***

Density functional theory data (PBE) for a relaxed ErLu2Cu crystal.

Unit cell a=3.533 b=3.533 c=28.915 alpha=90.00 beta=90.00 gamma=120.00
Fractional positions:
Er  0.000  0.000  0.000
Er  0.333  0.667  0.667
Er  0.667  0.333  0.333
Lu  0.000  0.000  0.234
Lu  0.000  0.000  0.766
Lu  0.333  0.667  0.432
Lu  0.333  0.667  0.901
Lu  0.667  0.333  0.099
Lu  0.667  0.333  0.568
Cu  0.000  0.000  0.500
Cu  0.333  0.667  0.167
Cu  0.667  0.333  0.833

Output
Uncorrected energy, eV per cell: -52.9
Formation enthalpy at 0 K, eV per atom: 0.02
SG: No. 166

***

Density functional theory data (PBE) for a relaxed ErLuMnCu crystal.

Unit cell a=6.898 b=6.898 c=6.898 alpha=90.00 beta=90.00 gamma=90.00
Fractional positions:
Er  0.000  0.000  0.000
Er  0.000  0.500  0.500
Er  0.500  0.000  0.500
Er  0.500  0.500  0.000
Lu  0.000  0.000  0.500
Lu  0.000  0.500  0.000
Lu  0.500  0.000  0.000
Lu  0.500  0.500  0.500
Mn  0.250  0.250  0.250
Mn  0.250  0.750  0.750
Mn  0.750  0.250  0.750
Mn  0.750  0.750  0.250
Cu  0.250  0.250  0.750
Cu  0.250  0.750  0.250
Cu  0.750  0.250  0.250
Cu  0.750  0.750  0.750

Output
Uncorrected energy, eV per cell: -89.4
Formation enthalpy at 0 K, eV per atom: 0.00
SG: No. 216

***

Density functional theory data (PBE) for a relaxed ErLuCuNi crystal.

Unit cell a=6.730 b=6.730 c=6.730 alpha=90.00 beta=90.00 gamma=90.00
Fractional positions:
Er  0.000  0.000  0.000
Er  0.000  0.500  0.500
Er  0.500  0.000  0.500
Er  0.500  0.500  0.000
Lu  0.000  0.000  0.500
Lu  0.000  0.500  0.000
Lu  0.500  0.000  0.000
Lu  0.500  0.500  0.500
Cu  0.250  0.250  0.250
Cu  0.250  0.750  0.750
Cu  0.750  0.250  0.750
Cu  0.750  0.750  0.250
Ni  0.250  0.250  0.750
Ni  0.250  0.750  0.250
Ni  0.750  0.250  0.250
Ni  0.750  0.750  0.750

Output
Uncorrected energy, eV per cell: -81.8
Formation enthalpy at 0 K, eV per atom: -0.37
SG: No. 216

***

Density functional theory data (PBE) for a relaxed ErLuCuOs crystal.

Unit cell a=6.759 b=6.759 c=6.759 alpha=90.00 beta=90.00 gamma=90.00
Fractional positions:
Er  0.000  0.000  0.000
Er  0.000  0.500  0.500
Er  0.500  0.000  0.500
Er  0.500  0.500  0.000
Lu  0.000  0.000  0.500
Lu  0.000  0.500  0.000
Lu  0.500  0.000  0.000
Lu  0.500  0.500  0.500
Cu  0.250  0.250  0.750
Cu  0.250  0.750  0.250
Cu  0.750  0.250  0.250
Cu  0.750  0.750  0.750
Os  0.250  0.250  0.250
Os  0.250  0.750  0.750
Os  0.750  0.250  0.750
Os  0.750  0.750  0.250

Output
Uncorrected energy, eV per cell: -103.0
Formation enthalpy at 0 K, eV per atom: -0.33
SG: No. 216

***

Density functional theory data (PBE) for a relaxed ErLuCuPd crystal.

Unit cell a=6.881 b=6.881 c=6.881 alpha=90.00 beta=90.00 gamma=90.00
Fractional positions:
Er  0.000  0.000  0.000
Er  0.000  0.500  0.500
Er  0.500  0.000  0.500
Er  0.500  0.500  0.000
Lu  0.000  0.000  0.500
Lu  0.000  0.500  0.000
Lu  0.500  0.000  0.000
Lu  0.500  0.500  0.500
Cu  0.250  0.250  0.750
Cu  0.250  0.750  0.250
Cu  0.750  0.250  0.250
Cu  0.750  0.750  0.750
Pd  0.250  0.250  0.250
Pd  0.250  0.750  0.750
Pd  0.750  0.250  0.750
Pd  0.750  0.750  0.250

Output
Uncorrected energy, eV per cell: -83.3
Formation enthalpy at 0 K, eV per atom: -0.61
SG: No. 216

***

Density functional theory data (PBE) for a relaxed ErLuCuPt crystal.

Unit cell a=6.856 b=6.856 c=6.856 alpha=90.00 beta=90.00 gamma=90.00
Fractional positions:
Er  0.000  0.000  0.000
Er  0.000  0.500  0.500
Er  0.500  0.000  0.500
Er  0.500  0.500  0.000
Lu  0.000  0.000  0.500
Lu  0.000  0.500  0.000
Lu  0.500  0.000  0.000
Lu  0.500  0.500  0.500
Cu  0.250  0.250  0.750
Cu  0.250  0.750  0.250
Cu  0.750  0.250  0.250
Cu  0.750  0.750  0.750
Pt  0.250  0.250  0.250
Pt  0.250  0.750  0.750
Pt  0.750  0.250  0.750
Pt  0.750  0.750  0.250

Output
Uncorrected energy, eV per cell: -90.1
Formation enthalpy at 0 K, eV per atom: -0.83
SG: No. 216

***

Density functional theory data (PBE) for a relaxed ErLuCuRh crystal.

Unit cell a=6.801 b=6.801 c=6.801 alpha=90.00 beta=90.00 gamma=90.00
Fractional positions:
Er  0.000  0.000  0.000
Er  0.000  0.500  0.500
Er  0.500  0.000  0.500
Er  0.500  0.500  0.000
Lu  0.000  0.000  0.500
Lu  0.000  0.500  0.000
Lu  0.500  0.000  0.000
Lu  0.500  0.500  0.500
Cu  0.250  0.250  0.250
Cu  0.250  0.750  0.750
Cu  0.750  0.250  0.750
Cu  0.750  0.750  0.250
Rh  0.250  0.250  0.750
Rh  0.250  0.750  0.250
Rh  0.750  0.250  0.250
Rh  0.750  0.750  0.750

Output
Uncorrected energy, eV per cell: -92.1
Formation enthalpy at 0 K, eV per atom: -0.63
SG: No. 216

***

Density functional theory data (PBE) for a relaxed ErLuCuSi crystal.

Unit cell a=6.861 b=6.861 c=6.861 alpha=90.00 beta=90.00 gamma=90.00
Fractional positions:
Er  0.000  0.000  0.000
Er  0.000  0.500  0.500
Er  0.500  0.000  0.500
Er  0.500  0.500  0.000
Lu  0.000  0.000  0.500
Lu  0.000  0.500  0.000
Lu  0.500  0.000  0.000
Lu  0.500  0.500  0.500
Cu  0.250  0.250  0.750
Cu  0.250  0.750  0.250
Cu  0.750  0.250  0.250
Cu  0.750  0.750  0.750
Si  0.250  0.250  0.250
Si  0.250  0.750  0.750
Si  0.750  0.250  0.750
Si  0.750  0.750  0.250

Output
Uncorrected energy, eV per cell: -81.3
Raw formation energy, meV/atom: -430
SG: No. 216

***

Density functional theory data (PBE) for a relaxed ErLuCuSn crystal.

Unit cell a=7.163 b=7.163 c=7.163 alpha=90.00 beta=90.00 gamma=90.00
Fractional positions:
Er  0.000  0.000  0.000
Er  0.000  0.500  0.500
Er  0.500  0.000  0.500
Er  0.500  0.500  0.000
Lu  0.000  0.000  0.500
Lu  0.000  0.500  0.000
Lu  0.500  0.000  0.000
Lu  0.500  0.500  0.500
Cu  0.250  0.250  0.750
Cu  0.250  0.750  0.250
Cu  0.750  0.250  0.250
Cu  0.750  0.750  0.750
Sn  0.250  0.250  0.250
Sn  0.250  0.750  0.750
Sn  0.750  0.250  0.750
Sn  0.750  0.750  0.250

Output
Uncorrected energy, eV per cell: -75.2
Formation enthalpy at 0 K, eV per atom: -0.40
SG: No. 216

***

Density functional theory data (PBE) for a relaxed ErLuZnCu crystal.

Unit cell a=6.929 b=6.929 c=6.929 alpha=90.00 beta=90.00 gamma=90.00
Fractional positions:
Er  0.000  0.000  0.000
Er  0.000  0.500  0.500
Er  0.500  0.000  0.500
Er  0.500  0.500  0.000
Lu  0.000  0.000  0.500
Lu  0.000  0.500  0.000
Lu  0.500  0.000  0.000
Lu  0.500  0.500  0.500
Zn  0.250  0.250  0.750
Zn  0.250  0.750  0.250
Zn  0.750  0.250  0.250
Zn  0.750  0.750  0.750
Cu  0.250  0.250  0.250
Cu  0.250  0.750  0.750
Cu  0.750  0.250  0.750
Cu  0.750  0.750  0.250

Output
Uncorrected energy, eV per cell: -62.8
Formation enthalpy at 0 K, eV per atom: -0.31
SG: No. 216

***

Density functional theory data (PBE) for a relaxed ErMgCu17 crystal.

Unit cell a=6.409 b=6.409 c=6.409 alpha=82.66 beta=82.66 gamma=82.66
Fractional positions:
Er  0.000  0.000  0.000
Mg  0.318  0.318  0.318
Cu  0.010  0.010  0.500
Cu  0.010  0.500  0.010
Cu  0.159  0.664  0.664
Cu  0.315  0.315  0.809
Cu  0.315  0.809  0.315
Cu  0.361  0.658  0.962
Cu  0.361  0.962  0.658
Cu  0.500  0.010  0.010
Cu  0.559  0.559  0.559
Cu  0.658  0.361  0.962
Cu  0.658  0.962  0.361
Cu  0.664  0.159  0.664
Cu  0.664  0.664  0.159
Cu  0.756  0.756  0.756
Cu  0.809  0.315  0.315
Cu  0.962  0.361  0.658
Cu  0.962  0.658  0.361

Output
Uncorrected energy, eV per cell: -76.8
Formation enthalpy at 0 K, eV per atom: -0.05
SG: No. 160

***

Density functional theory data (PBE) for a relaxed ErMg8Cu2 crystal.

Unit cell a=7.286 b=7.286 c=5.170 alpha=98.24 beta=98.24 gamma=113.19
Fractional positions:
Er  0.000  0.000  0.000
Mg  0.072  0.326  0.584
Mg  0.263  0.737  0.000
Mg  0.326  0.072  0.584
Mg  0.408  0.408  0.212
Mg  0.592  0.592  0.788
Mg  0.674  0.928  0.416
Mg  0.737  0.263  0.000
Mg  0.928  0.674  0.416
Cu  0.309  0.691  0.500
Cu  0.691  0.309  0.500

Output
Uncorrected energy, eV per cell: -25.2
Formation enthalpy at 0 K, eV per atom: 0.03
SG: No. 12

***

Density functional theory data (PBE) for a relaxed Er4MgCu5 crystal.

Unit cell a=3.374 b=3.374 c=17.081 alpha=90.00 beta=90.00 gamma=90.00
Fractional positions:
Er  0.000  0.000  0.103
Er  0.000  0.000  0.308
Er  0.000  0.000  0.692
Er  0.000  0.000  0.897
Mg  0.000  0.000  0.500
Cu  0.500  0.500  0.000
Cu  0.500  0.500  0.206
Cu  0.500  0.500  0.410
Cu  0.500  0.500  0.590
Cu  0.500  0.500  0.794

Output
Uncorrected energy, eV per cell: -42.6
Formation enthalpy at 0 K, eV per atom: -0.23
SG: No. 123

***

Density functional theory data (PBE) for a relaxed Er6Mg2Cu crystal.

Unit cell a=6.599 b=7.210 c=11.117 alpha=90.00 beta=108.30 gamma=90.00
Fractional positions:
Er  0.094  0.036  0.252
Er  0.094  0.464  0.752
Er  0.168  0.705  0.035
Er  0.168  0.795  0.535
Er  0.322  0.159  0.999
Er  0.322  0.341  0.499
Er  0.678  0.659  0.501
Er  0.678  0.841  0.001
Er  0.832  0.205  0.465
Er  0.832  0.295  0.965
Er  0.906  0.536  0.248
Er  0.906  0.964  0.748
Mg  0.424  0.085  0.743
Mg  0.424  0.415  0.243
Mg  0.576  0.585  0.757
Mg  0.576  0.915  0.257
Cu  0.500  0.000  0.500
Cu  0.500  0.500  0.000

Output
Uncorrected energy, eV per cell: -68.2
Formation enthalpy at 0 K, eV per atom: 0.06
SG: No. 14

***

Density functional theory data (PBE) for a relaxed ErMg11Cu crystal.

Unit cell a=7.684 b=7.684 c=7.600 alpha=97.50 beta=97.50 gamma=136.39
Fractional positions:
Er  0.000  0.000  0.000
Mg  0.000  0.000  0.500
Mg  0.000  0.500  0.000
Mg  0.013  0.354  0.357
Mg  0.302  0.506  0.783
Mg  0.354  0.013  0.357
Mg  0.494  0.698  0.217
Mg  0.500  0.000  0.000
Mg  0.506  0.302  0.783
Mg  0.646  0.987  0.643
Mg  0.698  0.494  0.217
Mg  0.987  0.646  0.643
Cu  0.500  0.500  0.500

Output
Uncorrected energy, eV per cell: -26.4
Formation enthalpy at 0 K, eV per atom: -0.02
SG: No. 12

***

Density functional theory data (PBE) for a relaxed Er3Mg2Cu3 crystal.

Unit cell a=3.351 b=4.971 c=20.062 alpha=90.00 beta=90.00 gamma=90.00
Fractional positions:
Er  0.000  0.000  0.000
Er  0.000  0.500  0.120
Er  0.000  0.500  0.880
Er  0.500  0.000  0.380
Er  0.500  0.000  0.620
Er  0.500  0.500  0.500
Mg  0.000  0.000  0.230
Mg  0.000  0.000  0.770
Mg  0.500  0.500  0.270
Mg  0.500  0.500  0.730
Cu  0.000  0.000  0.500
Cu  0.000  0.500  0.380
Cu  0.000  0.500  0.620
Cu  0.500  0.000  0.120
Cu  0.500  0.000  0.880
Cu  0.500  0.500  0.000

Output
Uncorrected energy, eV per cell: -61.3
Formation enthalpy at 0 K, eV per atom: -0.18
SG: No. 71

***

Density functional theory data (PBE) for a relaxed ErMgCu5 crystal.

Unit cell a=8.202 b=5.018 c=10.420 alpha=90.00 beta=90.00 gamma=90.00
Fractional positions:
Er  0.249  0.250  0.060
Er  0.251  0.750  0.560
Er  0.749  0.250  0.440
Er  0.751  0.750  0.940
Mg  0.137  0.750  0.861
Mg  0.363  0.250  0.361
Mg  0.637  0.750  0.639
Mg  0.863  0.250  0.139
Cu  0.052  0.750  0.103
Cu  0.068  0.005  0.312
Cu  0.068  0.495  0.312
Cu  0.088  0.250  0.517
Cu  0.187  0.250  0.744
Cu  0.313  0.750  0.244
Cu  0.412  0.750  0.017
Cu  0.432  0.505  0.812
Cu  0.432  0.995  0.812
Cu  0.448  0.250  0.603
Cu  0.552  0.750  0.397
Cu  0.568  0.005  0.188
Cu  0.568  0.495  0.188
Cu  0.588  0.250  0.983
Cu  0.687  0.250  0.756
Cu  0.813  0.750  0.256
Cu  0.912  0.750  0.483
Cu  0.932  0.505  0.688
Cu  0.932  0.995  0.688
Cu  0.948  0.250  0.897

Output
Uncorrected energy, eV per cell: -112.1
Formation enthalpy at 0 K, eV per atom: -0.20
SG: No. 62

***

Density functional theory data (PBE) for a relaxed ErMg2Cu6 crystal.

Unit cell a=7.478 b=7.478 c=7.478 alpha=155.03 beta=123.55 gamma=62.66
Fractional positions:
Er  0.000  0.000  0.000
Mg  0.360  0.860  0.500
Mg  0.640  0.140  0.500
Cu  0.005  0.323  0.682
Cu  0.327  0.500  0.827
Cu  0.360  0.677  0.682
Cu  0.640  0.323  0.318
Cu  0.673  0.500  0.173
Cu  0.995  0.677  0.318

Output
Uncorrected energy, eV per cell: -32.7
Formation enthalpy at 0 K, eV per atom: -0.04
SG: No. 71

***

Density functional theory data (PBE) for a relaxed Er4Mg5Cu2 crystal.

Unit cell a=7.905 b=3.465 c=9.756 alpha=90.00 beta=92.66 gamma=90.00
Fractional positions:
Er  0.162  0.000  0.356
Er  0.220  0.000  0.952
Er  0.780  0.000  0.048
Er  0.838  0.000  0.644
Mg  0.187  0.500  0.657
Mg  0.452  0.500  0.183
Mg  0.500  0.500  0.500
Mg  0.548  0.500  0.817
Mg  0.813  0.500  0.343
Cu  0.056  0.500  0.134
Cu  0.944  0.500  0.866

Output
Uncorrected energy, eV per cell: -35.6
Formation enthalpy at 0 K, eV per atom: -0.11
SG: No. 10

***

Density functional theory data (PBE) for a relaxed Er3Mg2Cu crystal.

Unit cell a=3.451 b=3.451 c=12.524 alpha=90.00 beta=90.00 gamma=90.00
Fractional positions:
Er  0.000  0.000  0.000
Er  0.000  0.000  0.367
Er  0.000  0.000  0.633
Mg  0.500  0.500  0.180
Mg  0.500  0.500  0.820
Cu  0.500  0.500  0.500

Output
Uncorrected energy, eV per cell: -21.7
Formation enthalpy at 0 K, eV per atom: -0.12
SG: No. 123